(1)
A PBEsol-optimized structure of K2ZrBe, computed with meta-GGA SCAN.

E_form in eV per atom: 0.76
Space group: Cm (8)

abc: 3.1793 3.8754 11.4346
angles: 94.56 90.00 114.22
Last column: nearest neighbours and their distance in Å.
Atoms (fractional coordinates):
Zr  0.4703  0.9406  0.4194  3 Be 2.52-2.66
Be  0.7673  0.5346  0.2919  3 Zr 2.52-2.66
K  0.2381  0.4763  0.7087  2 K 3.18
K  0.0242  0.0485  0.0800  3 Be 3.15-3.26, 2 K 3.18



(2)
A PBEsol-optimized structure of K2ZrBe, computed with meta-GGA SCAN.

E_form in eV per atom: 1.10
Space group: Cmmm (65)

abc: 3.1066 3.1066 12.4562
angles: 90.00 90.00 114.09
Last column: nearest neighbours and their distance in Å.
Atoms (fractional coordinates):
K  0.0000  0.0000  0.2261  6 K 3.11-3.38, 2 Be 3.28
K  0.0000  0.0000  0.7739  6 K 3.11-3.38, 2 Be 3.28
Be  0.5000  0.5000  0.0000  6 Be 3.11-3.38, 4 K 3.28
Zr  0.5000  0.5000  0.5000  6 Zr 3.11-3.38



(3)
A PBEsol-optimized structure of K2ZrBe, computed with meta-GGA SCAN.

E_form in eV per atom: 1.08
Space group: P2/m (10)

abc: 2.9280 5.6935 6.2944
angles: 90.00 90.00 90.71
Last column: nearest neighbours and their distance in Å.
Atoms (fractional coordinates):
K  0.7662  0.7641  0.0000  4 K 2.93-3.12
K  0.2338  0.2359  0.0000  4 K 2.93-3.12
Zr  0.0000  0.5000  0.5000  2 Zr 2.93, 4 Be 3.19-3.22
Be  0.5000  0.0000  0.5000  2 Be 2.93, 4 Zr 3.19-3.22



(4)
A PBEsol-optimized structure of La2Be, computed with meta-GGA SCAN.

E_form in eV per atom: 0.18
Space group: Cmc2_1 (36)

abc: 4.2383 6.0043 6.6607
angles: 90.00 90.00 110.67
Last column: nearest neighbours and their distance in Å.
Atoms (fractional coordinates):
La  0.2119  0.4237  0.5144  3 Be 2.99-3.11, 1 La 3.20
La  0.7881  0.5763  0.0144  3 Be 2.99-3.11, 1 La 3.20
La  0.5275  0.0550  0.2066  4 Be 2.88-3.04, 1 La 3.20
La  0.4725  0.9450  0.7066  4 Be 2.88-3.04, 1 La 3.20
Be  0.1049  0.2098  0.9454  7 La 2.88-3.11
Be  0.8951  0.7902  0.4454  7 La 2.88-3.11